Record 1
ZnInTe2 GGA-PBE optimized geometry; calculated total energy = -9.571 eV for the cell shown; calculated density = 6.73 g/cm³; ΔE_f (raw) = 0.181 eV/atom
1.0
5.237 -0.940 0.000
0.851 5.252 0.000
-3.044 -2.156 3.794
In Te Zn
1 2 1
direct
0.750 0.250 0.500 In
0.250 0.750 0.500 Te
0.000 0.000 0.000 Te
0.500 0.500 0.000 Zn

Record 2
BaLi2HPt GGA-PBE optimized geometry; calculated total energy = -16.861 eV for the cell shown; calculated density = 5.87 g/cm³; energy above the most stable polymorph in this dataset = 14.2 kJ per mole of atoms
1.0
4.325 0.000 0.000
0.000 4.325 0.000
0.000 0.000 5.255
Ba Li Pt H
1 2 1 1
direct
0.000 0.000 0.500 Ba
0.000 0.500 0.000 Li
0.500 0.000 0.000 Li
0.500 0.500 0.500 Pt
0.000 0.000 0.000 H

Record 3
Dy4Cu2Ru GGA-PBE optimized geometry; calculated total energy = -37.307 eV for the cell shown; energy of formation = -0.20 eV per atom; calculated density = 8.99 g/cm³
1.0
-3.124 2.552 -2.719
-4.670 0.328 1.322
-0.951 7.458 3.741
Dy Cu Ru
4 2 1
direct
0.123 0.123 0.632 Dy
0.374 0.374 0.878 Dy
0.626 0.626 0.122 Dy
0.877 0.877 0.368 Dy
0.749 0.749 0.752 Cu
0.251 0.251 0.248 Cu
0.000 0.000 0.000 Ru

Record 4
Dy5AlBi2 GGA-PBE optimized geometry; calculated total energy = -72.692 eV for the cell shown; energy of formation = -0.23 eV per atom; calculated density = 8.76 g/cm³
1.0
-5.552 0.785 0.950
1.562 -4.962 -3.788
0.770 -8.647 11.642
Bi Dy Al
4 10 2
direct
0.206 0.411 0.877 Bi
0.794 0.589 0.123 Bi
0.206 0.411 0.623 Bi
0.794 0.589 0.377 Bi
0.623 0.245 0.552 Dy
0.562 0.124 0.250 Dy
0.623 0.245 0.948 Dy
0.923 0.847 0.600 Dy
0.438 0.876 0.750 Dy
0.377 0.755 0.052 Dy
0.923 0.847 0.900 Dy
0.077 0.153 0.400 Dy
0.077 0.153 0.100 Dy
0.377 0.755 0.448 Dy
0.723 0.446 0.750 Al
0.277 0.554 0.250 Al

Record 5
CuBr GGA-PBE optimized geometry; calculated total energy = -37.268 eV for the cell shown; calculated density = 4.49 g/cm³; ΔE_f (raw) = -0.221 eV/atom
1.0
9.516 0.000 0.000
-4.758 8.241 0.000
0.000 0.000 4.055
Cu Br
6 6
direct
0.404 0.967 0.750 Cu
0.563 0.596 0.750 Cu
0.967 0.563 0.250 Cu
0.437 0.404 0.250 Cu
0.033 0.437 0.750 Cu
0.596 0.033 0.250 Cu
0.886 0.273 0.250 Br
0.727 0.613 0.250 Br
0.387 0.114 0.250 Br
0.273 0.387 0.750 Br
0.114 0.727 0.750 Br
0.613 0.886 0.750 Br

What is the formula in the fifth record? CuBr

Which value of calculated density does entry 3 give? 8.99 g/cm³